An optimized crystal structure of DyVClO4. Source: the Alexandria database, functional GGA+U.

Lattice parameters (Å, degrees): 6.3997 6.3997 6.7111 100.92 100.92 66.72
Positions (direct):
Dy  0.2467  0.2467  0.3788
Dy  0.7533  0.7533  0.6212
V  0.1348  0.1348  0.7730
V  0.8652  0.8652  0.2270
Cl  0.4845  0.4845  0.6849
Cl  0.5155  0.5155  0.3151
O  0.0054  0.3812  0.6490
O  0.0316  0.0316  0.2753
O  0.1954  0.1954  0.0341
O  0.3812  0.0054  0.6490
O  0.6188  0.9946  0.3510
O  0.8046  0.8046  0.9659
O  0.9684  0.9684  0.7247
O  0.9946  0.6188  0.3510

Values from the calculation:
size of the total moment: 0.94 μB/f.u.
uncorrected energy: -7.000 eV per atom
DOS at the Fermi energy: 0.184 states/eV/atom